1.
The following is a DFT calculation (PBE) of an optimized crystal structure of Ni2Pd12Au5.

## Properties
* VASP energy: -88.25 eV/f.u.
* DOS at the Fermi energy: 27.27 states/eV/cell
* V: 311.75 Å³/f.u.
* density: 12.67 Mg/m³
* crystal system: monoclinic
* formation energy from the elements: 106 meV per atom

Cell lengths 9.2017, 9.2017, 6.9348 Å; angles 110.45, 110.45, 34.79 degrees
Closest atoms and distances in Å follow each position.
Atoms (fractional coordinates):
Ni1 0.2228 0.7772 0.0000  1 Ni 2.45, 4 Pd 2.55-2.64
Ni2 0.7772 0.2228 0.0000  1 Ni 2.45, 4 Pd 2.55-2.64
Pd1 0.0475 0.0475 0.6983  5 Pd 2.64-2.81, 1 Au 2.68, 2 Ni 2.80
Pd2 0.0566 0.5516 0.2056  6 Pd 2.72-2.81, 4 Au 2.83-2.96
Pd3 0.1448 0.6563 0.6258  1 Ni 2.55, 3 Au 2.63-2.79, 4 Pd 2.69-2.81
Pd4 0.3437 0.8552 0.3742  1 Ni 2.55, 3 Au 2.63-2.79, 4 Pd 2.69-2.81
Pd5 0.3713 0.3713 0.9520  2 Ni 2.64, 3 Au 2.78-2.94, 4 Pd 2.80-2.87
Pd6 0.4484 0.9434 0.7944  6 Pd 2.72-2.81, 4 Au 2.83-2.96
Pd7 0.5516 0.0566 0.2056  6 Pd 2.72-2.81, 4 Au 2.83-2.96
Pd8 0.6287 0.6287 0.0480  2 Ni 2.64, 3 Au 2.78-2.94, 4 Pd 2.80-2.87
Pd9 0.6563 0.1448 0.6258  1 Ni 2.55, 3 Au 2.63-2.79, 4 Pd 2.69-2.81
Pd10 0.8552 0.3437 0.3742  1 Ni 2.55, 3 Au 2.63-2.79, 4 Pd 2.69-2.81
Pd11 0.9434 0.4484 0.7944  6 Pd 2.72-2.81, 4 Au 2.83-2.96
Pd12 0.9525 0.9525 0.3017  5 Pd 2.64-2.81, 1 Au 2.68, 2 Ni 2.80
Au1 0.1522 0.1522 0.0936  9 Pd 2.68-2.84, 2 Ni 2.79, 1 Au 2.85
Au2 0.2550 0.2550 0.5213  3 Au 2.77-2.85, 9 Pd 2.77-2.96
Au3 0.5000 0.5000 0.5000  4 Pd 2.63
Au4 0.7450 0.7450 0.4787  3 Au 2.77-2.85, 9 Pd 2.77-2.96
Au5 0.8478 0.8478 0.9064  9 Pd 2.68-2.84, 2 Ni 2.79, 1 Au 2.85


2.
The following is a DFT calculation (PBE) of an optimized crystal structure of Zn2BrCl.

## Properties
* VASP energy: -7.84 eV/f.u.
* DOS at the Fermi energy: 1.93 states/eV/cell
* V: 118.82 Å³/f.u.
* density: 3.44 Mg/m³
* energy relative to the elements, uncorrected: -442 meV/atom
* crystal system: orthorhombic

Cell lengths 3.4250, 7.6593, 9.0585 Å; angles 90.00, 90.00, 90.00 degrees
Closest atoms and distances in Å follow each position.
Atoms (fractional coordinates):
Zn1 0.0000 0.0000 0.0000  2 Cl 2.38
Zn2 0.0000 0.5000 0.2744  2 Br 2.51, 2 Zn 2.67
Zn3 0.5000 0.0000 0.7744  2 Br 2.51, 2 Zn 2.67
Zn4 0.5000 0.5000 0.5000  2 Cl 2.38
Br1 0.0000 0.0000 0.5719  2 Zn 2.51
Br2 0.5000 0.5000 0.0719  2 Zn 2.51
Cl1 0.0000 0.5000 0.6823  2 Zn 2.38
Cl2 0.5000 0.0000 0.1823  2 Zn 2.38


3.
The following is a DFT calculation (PBE) of an optimized crystal structure of NdTmAgPd.

## Properties
* VASP energy: -19.55 eV/f.u.
* DOS at the Fermi energy: 4.07 states/eV/cell
* V: 93.99 Å³/f.u.
* density: 9.32 Mg/m³
* crystal system: tetragonal
* formation energy from the elements: -566 meV per atom

Cell lengths 3.5801, 3.5801, 7.3329 Å; angles 90.00, 90.00, 90.00 degrees
Closest atoms and distances in Å follow each position.
Atoms (fractional coordinates):
Nd1 0.0000 0.0000 0.0000  4 Pd 3.19, 4 Ag 3.28, 1 Tm 3.50
Tm1 0.0000 0.0000 0.4772  4 Pd 2.97, 4 Ag 3.08
Ag1 0.5000 0.5000 0.7163  4 Tm 3.08, 4 Nd 3.28, 1 Pd 3.30
Pd1 0.5000 0.5000 0.2658  4 Tm 2.97, 4 Nd 3.19, 1 Ag 3.30


4.
The following is a DFT calculation (PBE) of an optimized crystal structure of AcPaHg2O6.

## Properties
* VASP energy: -65.94 eV/f.u.
* DOS at the Fermi energy: 0.00 states/eV/cell
* V: 173.40 Å³/f.u.
* density: 9.15 Mg/m³
* energy relative to the elements, uncorrected: -2198 meV/atom
* crystal system: trigonal

Cell lengths 6.5187, 6.5187, 6.5187 Å; angles 55.07, 55.07, 55.07 degrees
Closest atoms and distances in Å follow each position.
Atoms (fractional coordinates):
Ac1 0.0000 0.0000 0.0000  6 O 2.52
Pa1 0.5000 0.5000 0.5000  6 O 2.21
Hg1 0.2442 0.2442 0.2442  3 O 2.21
Hg2 0.7558 0.7558 0.7558  3 O 2.21
O1 0.1345 0.7285 0.4038  1 Pa 2.21, 1 Hg 2.21
O2 0.2715 0.5962 0.8655  1 Pa 2.21, 1 Hg 2.21
O3 0.4038 0.1345 0.7285  1 Pa 2.21, 1 Hg 2.21
O4 0.5962 0.8655 0.2715  1 Pa 2.21, 1 Hg 2.21
O5 0.7285 0.4038 0.1345  1 Pa 2.21, 1 Hg 2.21
O6 0.8655 0.2715 0.5962  1 Pa 2.21, 1 Hg 2.21